Below is a relaxed PmTaNO2 crystal, with properties calculated at the PBE level.

Output
**Formation energy without anion corrections**: -2.311 eV per atom
**Fermi-level density of states**: 1.4 states/eV/cell
**Calculated volume**: 12.59 A^3/atom

Structure (extended XYZ):
```
10
Lattice="3.2277 0.0000 0.0000 -1.6139 5.1187 0.0000 0.0000 0.0000 7.6210" Properties=species:S:1:pos:R:3 pbc="T T T"
O 1.6139 1.3805 7.2016
O 0.0000 3.7382 0.4194
O 0.0000 3.7382 3.3911
O 1.6139 1.3805 4.2300
Ta 0.0000 0.0000 0.0000
Ta 0.0000 0.0000 3.8105
N 1.6139 4.4354 5.7158
N 0.0000 0.6833 1.9053
Pm 1.6139 2.4878 1.9053
Pm 0.0000 2.6309 5.7158
```